An optimized crystal structure of CaTa2In. Source: the Alexandria database, functional PBE.

Cell lengths 3.3741, 4.8444, 5.2368 Å; angles 90.00, 90.00, 90.00 degrees
Fractional coordinates of all 4 atoms:
Ta: 0.5000 0.5000 0.0000
Ta: 0.0000 0.0000 0.0000
In: 0.0000 0.5000 0.5000
Ca: 0.5000 0.0000 0.5000

Summary:
Calculated formation energy ... 466.2 meV/atom
Energy ... -6.645 eV/atom
Total moment ... 0.00 μB per atom

=====

An optimized crystal structure of CaTaIn3. Source: the Alexandria database, functional PBE.

Cell lengths 5.3844, 5.3844, 5.3844 Å; angles 90.00, 90.00, 90.00 degrees
Fractional coordinates of all 5 atoms:
In: 0.5000 0.0000 0.0000
In: 0.0000 0.0000 0.5000
In: 0.0000 0.5000 0.0000
Ta: 0.0000 0.0000 0.0000
Ca: 0.5000 0.5000 0.5000

Summary:
Calculated formation energy ... 254.7 meV/atom
Energy ... -4.159 eV/atom
E above lowest polymorph ... 0 meV per atom
Total moment ... 0.00 μB per atom

=====

An optimized crystal structure of CaTaIn. Source: the Alexandria database, functional PBE.

Cell lengths 6.2156, 6.2156, 6.2156 Å; angles 151.06, 141.45, 48.91 degrees
Fractional coordinates of all 3 atoms:
Ta: 0.3129 0.3129 0.0000
Ca: 0.0004 0.0004 0.0000
In: 0.6866 0.6866 0.0000

Summary:
Calculated formation energy ... 396.5 meV/atom
Energy ... -5.134 eV/atom
E above lowest polymorph ... 151 meV per atom
Total moment ... 0.00 μB per atom

=====

- What is the formula in the third record?
  CaTaIn

=====

- What is the calculated formation energy in the first record?
  466.2 meV/atom

=====

- The lowest energy belongs to which entry?
  CaTa2In